#w
## HfURh6 (PBE)

Data for a relaxed structure of HfURh6.

Unit cell a=3.9867 b=5.6241 c=5.6241 alpha=90.00 beta=90.00 gamma=90.00
Closest atoms and distances in Å follow each position.
Positions (direct):
Hf  0.5000  0.5000  0.5000  12 Rh 2.81-2.83
Rh  0.0000  0.2472  0.7528  8 Rh 2.78-2.84, 2 U 2.80, 2 Hf 2.83
Rh  0.5000  0.0000  0.5000  2 U 2.81, 2 Hf 2.81, 8 Rh 2.82
Rh  0.0000  0.2472  0.2472  8 Rh 2.78-2.84, 2 U 2.80, 2 Hf 2.83
U  0.5000  0.0000  0.0000  12 Rh 2.80-2.81
Rh  0.0000  0.7528  0.2472  8 Rh 2.78-2.84, 2 U 2.80, 2 Hf 2.83
Rh  0.0000  0.7528  0.7528  8 Rh 2.78-2.84, 2 U 2.80, 2 Hf 2.83
Rh  0.5000  0.5000  0.0000  2 Hf 2.81, 2 U 2.81, 8 Rh 2.82

Computed properties:
**Volume**: 126 Å³/f.u.
**Mass density**: 13.62 g/cm³
**Space group**: P4/mmm, No. 123

---

#x
## HfURh6 (PBE)

Data for a relaxed structure of HfURh6.

Unit cell a=3.9832 b=3.9832 c=7.9522 alpha=90.00 beta=90.00 gamma=90.00
Closest atoms and distances in Å follow each position.
Positions (direct):
Rh  0.5000  0.0000  0.7490  8 Rh 2.81-2.82, 2 U 2.81, 2 Hf 2.82
Rh  0.0000  0.5000  0.7490  8 Rh 2.81-2.82, 2 U 2.81, 2 Hf 2.82
Rh  0.5000  0.0000  0.2510  2 U 2.81, 8 Rh 2.81-2.82, 2 Hf 2.82
U  0.0000  0.0000  0.5000  12 Rh 2.81-2.82
Rh  0.0000  0.5000  0.2510  2 U 2.81, 8 Rh 2.81-2.82, 2 Hf 2.82
Hf  0.0000  0.0000  0.0000  12 Rh 2.82
Rh  0.5000  0.5000  0.5000  8 Rh 2.81, 4 U 2.82
Rh  0.5000  0.5000  0.0000  4 Hf 2.82, 8 Rh 2.82

Computed properties:
**Volume**: 126 Å³/f.u.
**Mass density**: 13.61 g/cm³
**Space group**: P4/mmm, No. 123

---

Least stable = #x

---

#w
## HfVRh (PBE)

Data for a relaxed structure of HfVRh.

Unit cell a=3.1530 b=3.1530 c=5.3934 alpha=107.00 beta=107.00 gamma=90.00
Closest atoms and distances in Å follow each position.
Positions (direct):
Hf  0.6160  0.6160  0.2319  4 Rh 2.81, 4 V 2.83
Rh  0.9413  0.9413  0.8826  4 V 2.66, 4 Hf 2.81
V  0.2927  0.2927  0.5854  4 Rh 2.66, 4 Hf 2.83

Computed properties:
**Volume**: 49 Å³/f.u.
**Mass density**: 11.30 g/cm³
**Space group**: I4mm, No. 107

---

#x
## HfVRh (PBE)

Data for a relaxed structure of HfVRh.

Unit cell a=3.0429 b=3.0429 c=6.5171 alpha=76.50 beta=76.50 gamma=60.00
Closest atoms and distances in Å follow each position.
Positions (direct):
V  0.5448  0.5448  0.3657  3 Rh 2.57, 3 Hf 2.83
Rh  0.1116  0.1116  0.6652  3 V 2.57, 3 Hf 2.80
Hf  0.3290  0.3290  0.0130  3 Rh 2.80, 3 V 2.83, 6 Hf 3.04

Computed properties:
**Volume**: 50 Å³/f.u.
**Mass density**: 10.97 g/cm³
**Space group**: R3m, No. 160

---

Least stable = #x

---

#w
## Hf3RhW (PBE)

Data for a relaxed structure of Hf3RhW.

Unit cell a=4.8738 b=4.8738 c=4.8738 alpha=90.00 beta=90.00 gamma=90.00
Closest atoms and distances in Å follow each position.
Positions (direct):
Hf  0.0000  0.0000  0.5000  2 Rh 2.44
Rh  0.0000  0.0000  0.0000  6 Hf 2.44
Hf  0.5000  0.0000  0.0000  2 Rh 2.44
Hf  0.0000  0.5000  0.0000  2 Rh 2.44
W  0.5000  0.5000  0.5000  12 Hf 3.45

Computed properties:
**Volume**: 116 Å³/f.u.
**Mass density**: 11.79 g/cm³
**Space group**: Pm-3m, No. 221

---

#x
## Hf3RhW (PBE)

Data for a relaxed structure of Hf3RhW.

Unit cell a=4.9714 b=4.9714 c=4.9714 alpha=90.00 beta=90.00 gamma=90.00
Closest atoms and distances in Å follow each position.
Positions (direct):
Hf  0.5000  0.0000  0.0000  2 W 2.49
Hf  0.0000  0.0000  0.5000  2 W 2.49
Hf  0.0000  0.5000  0.0000  2 W 2.49
Rh  0.5000  0.5000  0.5000  12 Hf 3.52
W  0.0000  0.0000  0.0000  6 Hf 2.49

Computed properties:
**Volume**: 123 Å³/f.u.
**Mass density**: 11.11 g/cm³
**Space group**: Pm-3m, No. 221

---

Least stable = #x

---

#w
## YHf3Rh (PBE)

Data for a relaxed structure of YHf3Rh.

Unit cell a=5.0215 b=5.0215 c=5.0215 alpha=90.00 beta=90.00 gamma=90.00
Closest atoms and distances in Å follow each position.
Positions (direct):
Rh  0.5000  0.5000  0.5000  12 Hf 3.55
Hf  0.0000  0.5000  0.0000  2 Y 2.51
Y  0.0000  0.0000  0.0000  6 Hf 2.51
Hf  0.0000  0.0000  0.5000  2 Y 2.51
Hf  0.5000  0.0000  0.0000  2 Y 2.51

Computed properties:
**Volume**: 127 Å³/f.u.
**Mass density**: 9.54 g/cm³
**Space group**: Pm-3m, No. 221

---

#x
## YHf3Rh (PBE)

Data for a relaxed structure of YHf3Rh.

Unit cell a=5.0411 b=5.0411 c=5.0411 alpha=90.00 beta=90.00 gamma=90.00
Closest atoms and distances in Å follow each position.
Positions (direct):
Hf  0.5000  0.0000  0.0000  2 Rh 2.52
Y  0.5000  0.5000  0.5000  12 Hf 3.56
Hf  0.0000  0.0000  0.5000  2 Rh 2.52
Hf  0.0000  0.5000  0.0000  2 Rh 2.52
Rh  0.0000  0.0000  0.0000  6 Hf 2.52

Computed properties:
**Volume**: 128 Å³/f.u.
**Mass density**: 9.43 g/cm³
**Space group**: Pm-3m, No. 221

---

Least stable = #w